The following is a PBE with a Hubbard U calculation of an optimized crystal structure of Na3Er3WO8, from Alexandria via LeMat-Bulk.

Structure (CIF):
```
data_Na3Er3WO8
_symmetry_space_group_name_H-M 'P 1'
_symmetry_Int_Tables_number 1
_symmetry_space_group_name_Hall 'P 1'
_cell_length_a 6.679
_cell_length_b 6.716
_cell_length_c 6.770
_cell_angle_alpha 119.49
_cell_angle_beta 90.00
_cell_angle_gamma 119.82
loop_
_atom_site_label
_atom_site_type_symbol
_atom_site_fract_x
_atom_site_fract_y
_atom_site_fract_z
Na1 Na 0.000 0.000 0.000
Na2 Na 0.000 0.500 0.000
Na3 Na 0.500 0.500 0.000
Er1 Er 0.500 0.000 0.500
Er2 Er 0.500 0.500 0.500
Er3 Er 0.000 0.500 0.500
W1 W 0.000 0.000 0.500
O1 O 0.266 0.532 0.293
O2 O 0.734 0.468 0.707
O3 O 0.774 0.549 0.301
O4 O 0.226 0.451 0.699
O5 O 0.781 0.025 0.304
O6 O 0.219 0.975 0.696
O7 O 0.243 0.025 0.304
O8 O 0.757 0.975 0.696
```

* magnetization: 0.13 μB/atom
* VASP energy: -6.972 eV per atom